! Zr3Si2Ru5, relaxed, DFT PBE-GGA; values from VASP
! Total moment   0.000 μB per atom
! Calculated density   8.631 g/cm3
! Energy relative to the elements, uncorrected   -0.7292 eV per atom
&SYSTEM
  ibrav = 0, nat = 20, ntyp = 3
/
ATOMIC_SPECIES
Ru 101.07 Ru.upf
Zr 91.22 Zr.upf
Si 28.09 Si.upf
CELL_PARAMETERS angstrom
3.3160 0.0000 0.0000
0.0000 9.8443 0.0000
0.0000 0.0000 9.8443
ATOMIC_POSITIONS crystal
Ru 0.5000 0.2869 0.5696
Ru 0.5000 0.9304 0.2131
Ru 0.5000 0.7869 0.9304
Ru 0.5000 0.5000 0.0000
Ru 0.5000 0.5696 0.7131
Ru 0.5000 0.7131 0.4304
Ru 0.5000 0.0696 0.7869
Ru 0.5000 0.0000 0.5000
Ru 0.5000 0.2131 0.0696
Ru 0.5000 0.4304 0.2869
Zr 0.0000 0.8266 0.6734
Zr 0.0000 0.6734 0.1734
Zr 0.0000 0.1734 0.3266
Zr 0.0000 0.0000 0.0000
Zr 0.0000 0.3266 0.8266
Zr 0.0000 0.5000 0.5000
Si 0.0000 0.3751 0.1249
Si 0.0000 0.6249 0.8751
Si 0.0000 0.1249 0.6249
Si 0.0000 0.8751 0.3751

! LaAl2FeGe, relaxed, DFT PBE-GGA; values from VASP
! Total moment   0.205 μB per atom
! Calculated density   5.481 g/cm3
! Energy relative to the elements   -346 meV/atom
&SYSTEM
  ibrav = 0, nat = 5, ntyp = 4
/
ATOMIC_SPECIES
Ge 72.64 Ge.upf
Al 26.98 Al.upf
La 138.91 La.upf
Fe 55.84 Fe.upf
CELL_PARAMETERS angstrom
4.6018 0.0000 0.0000
0.0000 4.6018 0.0000
0.0000 0.0000 4.5978
ATOMIC_POSITIONS crystal
Ge 0.0000 0.0000 0.5000
Al 0.0000 0.5000 0.0000
Al 0.5000 0.0000 0.0000
La 0.5000 0.5000 0.5000
Fe 0.0000 0.0000 0.0000